## La2HRuRh (PBE)

Data for an optimized crystal structure of La2HRuRh.

Lattice parameters (Å, degrees): 5.093 5.093 3.686 90.00 90.00 90.00
Positions (direct):
1 La 0.000 0.500 0.000
2 La 0.500 0.000 0.000
3 H 0.000 0.000 0.000
4 Ru 0.000 0.000 0.500
5 Rh 0.500 0.500 0.500

Summary:
Its total energy is -6.40 eV/atom. Its space group is P4/mmm. The value obtained for the density of states at the Fermi level is 0.4313 states/eV per atom. The relative energy among the computed polymorphs is 0.0 kJ per mole of atoms. The crystal system is tetragonal.